NaLaSb (GGA-PBE, relaxed); ΔE_f (raw) = -0.567 eV per atom; volume = 37.6 A^3/atom; density = 4171 kg/m3; electronic total energy = -4.02 eV per atom
1.0
-1.8891 -4.9279 -0.7062
0.2368 -0.8434 5.2521
-7.4394 2.7407 0.7756
Na Sb La
2 2 2
Direct
0.0000 0.5000 0.8729
0.5000 0.0000 0.1271
0.0000 0.5000 0.2681
0.5000 0.0000 0.7319
0.5000 0.5000 0.5000
0.0000 0.0000 0.5000